No. 1
Computed, not measured: a relaxed Al2Zn3S6 crystal at the PBE level of DFT.

a = 6.6236 Å, b = 6.6236 Å, c = 18.4739 Å
α = 90.00°, β = 90.00°, γ = 120.00°
Space group R3 (No. 146, hexagonal axes)
Unique sites:
Al (0.0000, 0.0000, 0.0000) [3 per cell]
Al (0.0000, 0.0000, 0.3368) [3 per cell]
Zn (0.0227, 0.3502, 0.1689) [9 per cell]
S (0.0000, 0.0000, 0.2125) [3 per cell]
S (0.0000, 0.0000, 0.5525) [3 per cell]
S (0.0000, 0.0000, 0.8752) [3 per cell]
S (0.0019, 0.3498, 0.7075) [9 per cell]

- E_form (uncorrected): -88.5 kJ per mole of atoms



No. 2
Computed, not measured: a relaxed BiPbO2F crystal at the PBE level of DFT.

a = 6.908 Å, b = 3.989 Å, c = 6.429 Å
α = 90.00°, β = 90.10°, γ = 90.00°
Space group Cm (No. 8)
Unique sites:
Bi (0.000, 0.000, 0.000) [2 per cell]
Pb (0.168, 0.500, 0.462) [2 per cell]
O (0.001, 0.000, 0.342) [2 per cell]
O (0.167, 0.500, 0.086) [2 per cell]
F (0.333, 0.000, 0.786) [2 per cell]

- E_form (uncorrected): -149.0 kJ per mole of atoms



No. 3
Computed, not measured: a relaxed Y3ErCu2 crystal at the PBE level of DFT.

a = 4.926 Å, b = 8.727 Å, c = 6.885 Å
α = 90.00°, β = 90.00°, γ = 90.00°
Space group Pmc2_1 (No. 26)
Unique sites:
Y (0.000, 0.076, 0.000) [2 per cell]
Y (0.000, 0.338, 0.370) [2 per cell]
Y (0.500, 0.166, 0.657) [2 per cell]
Er (0.500, 0.423, 0.029) [2 per cell]
Cu (0.000, 0.348, 0.776) [2 per cell]
Cu (0.500, 0.153, 0.252) [2 per cell]

- Energy of formation: -0.17 eV per atom
- E above lowest polymorph: 0 meV/atom



No. 4
Computed, not measured: a relaxed LiCrTcSb crystal at the PBE level of DFT.

a = 6.208 Å, b = 6.208 Å, c = 6.208 Å
α = 90.00°, β = 90.00°, γ = 90.00°
Space group F-43m (No. 216)
Unique sites:
Li (0.000, 0.000, 0.000) [4 per cell]
Cr (0.250, 0.250, 0.750) [4 per cell]
Tc (0.000, 0.000, 0.500) [4 per cell]
Sb (0.250, 0.250, 0.250) [4 per cell]

- E_form (uncorrected): 1.1 kJ per mole of atoms



No. 5
Computed, not measured: a relaxed Pr6Os2PdCl3 crystal at the PBE level of DFT.

a = 7.180 Å, b = 12.446 Å, c = 8.024 Å
α = 90.00°, β = 107.32°, γ = 90.00°
Space group C2/m (No. 12)
Unique sites:
Pr (0.220, 0.000, 0.207) [4 per cell]
Pr (0.244, 0.326, 0.208) [8 per cell]
Os (0.000, 0.166, 0.000) [4 per cell]
Pd (0.000, 0.500, 0.000) [2 per cell]
Cl (0.000, 0.000, 0.500) [2 per cell]
Cl (0.000, 0.328, 0.500) [4 per cell]

- E_form (uncorrected): -88.5 kJ per mole of atoms



No. 6
Computed, not measured: a relaxed Tm2ZrSn crystal at the PBE level of DFT.

a = 3.492 Å, b = 3.492 Å, c = 8.610 Å
α = 90.00°, β = 90.00°, γ = 90.00°
Space group P4/mmm (No. 123)
Unique sites:
Tm (0.000, 0.000, 0.244) [2 per cell]
Zr (0.500, 0.500, 0.500) [1 per cell]
Sn (0.500, 0.500, 0.000) [1 per cell]

- Energy of formation: -0.27 eV per atom
- E above lowest polymorph: 61 meV/atom



No. 7
Computed, not measured: a relaxed Pu2Ga3Ni12Pt crystal at the PBE level of DFT.

a = 8.4702 Å, b = 8.4702 Å, c = 12.1522 Å
α = 90.00°, β = 90.00°, γ = 120.00°
Space group R-3m (No. 166, hexagonal axes)
Unique sites:
Pu (0.0000, 0.0000, 0.1645) [6 per cell]
Ga (0.0000, 0.5000, 0.0000) [9 per cell]
Ni (0.0009, 0.5004, 0.6030) [18 per cell]
Ni (0.0017, 0.5009, 0.2031) [18 per cell]
Pt (0.0000, 0.0000, 0.5000) [3 per cell]

- Energy of formation: -0.02 eV per atom



No. 8
Computed, not measured: a relaxed BeP2Se crystal at the PBE level of DFT.

a = 3.206 Å, b = 4.073 Å, c = 9.765 Å
α = 90.00°, β = 90.00°, γ = 90.00°
Space group Immm (No. 71)
Unique sites:
Be (0.000, 0.000, 0.000) [2 per cell]
P (0.000, 0.500, 0.329) [4 per cell]
Se (0.000, 0.000, 0.500) [2 per cell]

- E_form (uncorrected): 45.0 kJ per mole of atoms
- E above lowest polymorph: 736 meV/atom



No. 9
Computed, not measured: a relaxed DyCuNi crystal at the PBE level of DFT.

a = 4.074 Å, b = 3.568 Å, c = 7.330 Å
α = 90.00°, β = 90.63°, γ = 90.00°
Space group P2 (No. 3)
Unique sites:
Dy (0.250, 0.000, 0.231) [2 per cell]
Cu (0.252, 0.502, 0.588) [2 per cell]
Ni (0.249, 0.499, 0.916) [2 per cell]

- Energy of formation: -0.34 eV per atom
- E above lowest polymorph: 0 meV/atom



No. 10
Computed, not measured: a relaxed PmPr3Tl3 crystal at the PBE level of DFT.

a = 9.666 Å, b = 9.666 Å, c = 9.666 Å
α = 90.00°, β = 90.00°, γ = 90.00°
Space group P2_13 (No. 198)
Unique sites:
Pm (0.074, 0.426, 0.574) [4 per cell]
Pr (0.072, 0.572, 0.928) [4 per cell]
Pr (0.175, 0.175, 0.175) [4 per cell]
Pr (0.176, 0.824, 0.324) [4 per cell]
Tl (0.001, 0.748, 0.628) [12 per cell]

- Energy of formation: -0.29 eV per atom
- E above lowest polymorph: 0 meV/atom



No. 11
Computed, not measured: a relaxed Ru3Cl crystal at the PBE level of DFT.

a = 4.176 Å, b = 4.176 Å, c = 6.681 Å
α = 90.00°, β = 90.00°, γ = 90.00°
Space group I4/mmm (No. 139)
Unique sites:
Ru (0.000, 0.000, 0.000) [2 per cell]
Ru (0.000, 0.500, 0.250) [4 per cell]
Cl (0.000, 0.000, 0.500) [2 per cell]

- E_form (uncorrected): 93.3 kJ per mole of atoms
- E above lowest polymorph: 545 meV/atom



No. 12
Computed, not measured: a relaxed ThUN3 crystal at the PBE level of DFT.

a = 4.280 Å, b = 4.280 Å, c = 4.280 Å
α = 90.00°, β = 90.00°, γ = 90.00°
Space group Pm-3m (No. 221)
Unique sites:
Th (0.000, 0.000, 0.000) [1 per cell]
U (0.500, 0.500, 0.500) [1 per cell]
N (0.000, 0.500, 0.500) [3 per cell]

- E_form (uncorrected): -101.6 kJ per mole of atoms



No. 13
Computed, not measured: a relaxed MnFe6Ge crystal at the PBE level of DFT.

a = 5.1077 Å, b = 5.1077 Å, c = 4.1151 Å
α = 90.00°, β = 90.00°, γ = 120.00°
Space group P-6m2 (No. 187)
Unique sites:
Mn (0.0000, 0.0000, 0.0000) [1 per cell]
Fe (0.0119, 0.5060, 0.0000) [3 per cell]
Fe (0.1715, 0.3430, 0.5000) [3 per cell]
Ge (0.6667, 0.3333, 0.5000) [1 per cell]

- Energy of formation: -0.01 eV per atom



No. 14
Computed, not measured: a relaxed PuPaGaPt crystal at the PBE level of DFT.

a = 4.9384 Å, b = 4.9384 Å, c = 4.8490 Å
α = 90.00°, β = 90.00°, γ = 120.00°
Space group P3m1 (No. 156)
Unique sites:
Pu (0.0000, 0.0000, 0.0000) [1 per cell]
Pa (0.6667, 0.3333, 0.7781) [1 per cell]
Ga (0.3333, 0.6667, 0.2605) [1 per cell]
Pt (0.3333, 0.6667, 0.7482) [1 per cell]

- Energy of formation: -0.15 eV per atom
- E above lowest polymorph: 321 meV/atom



No. 15
Computed, not measured: a relaxed Ba2CeGaO6 crystal at the PBE level of DFT.

a = 8.490 Å, b = 8.490 Å, c = 8.490 Å
α = 90.00°, β = 90.00°, γ = 90.00°
Space group Fm-3m (No. 225)
Unique sites:
Ba (0.250, 0.250, 0.250) [8 per cell]
Ce (0.000, 0.000, 0.000) [4 per cell]
Ga (0.000, 0.000, 0.500) [4 per cell]
O (0.000, 0.000, 0.262) [24 per cell]

- E_form (uncorrected): -244.8 kJ per mole of atoms



No. 16
Computed, not measured: a relaxed Dy4HgIrPd2 crystal at the PBE level of DFT.

a = 5.0155 Å, b = 5.0155 Å, c = 24.4812 Å
α = 90.00°, β = 90.00°, γ = 120.00°
Space group R-3m (No. 166, hexagonal axes)
Unique sites:
Dy (0.0000, 0.0000, 0.1177) [6 per cell]
Dy (0.0000, 0.0000, 0.3690) [6 per cell]
Hg (0.0000, 0.0000, 0.5000) [3 per cell]
Ir (0.0000, 0.0000, 0.0000) [3 per cell]
Pd (0.0000, 0.0000, 0.2468) [6 per cell]

- Energy of formation: -0.79 eV per atom



No. 17
Computed, not measured: a relaxed Pr3Sm5Dy2 crystal at the PBE level of DFT.

a = 10.936 Å, b = 15.579 Å, c = 9.777 Å
α = 90.00°, β = 123.66°, γ = 90.00°
Space group C2/c (No. 15)
Unique sites:
Pr (0.000, 0.230, 0.250) [4 per cell]
Pr (0.145, 0.125, 0.050) [8 per cell]
Sm (0.000, 0.022, 0.250) [4 per cell]
Sm (0.000, 0.272, 0.750) [4 per cell]
Sm (0.000, 0.471, 0.750) [4 per cell]
Sm (0.234, 0.380, 0.223) [8 per cell]
Dy (0.156, 0.379, 0.548) [8 per cell]

- Energy of formation: 0.18 eV per atom
- E above lowest polymorph: 0 meV/atom



No. 18
Computed, not measured: a relaxed Sm3Tl2O2 crystal at the PBE level of DFT.

a = 12.777 Å, b = 3.989 Å, c = 8.006 Å
α = 90.00°, β = 120.57°, γ = 90.00°
Space group C2/m (No. 12)
Unique sites:
Sm (0.000, 0.000, 0.000) [2 per cell]
Sm (0.162, 0.500, 0.788) [4 per cell]
Tl (0.149, 0.500, 0.363) [4 per cell]
O (0.153, 0.000, 0.917) [4 per cell]

- E_form (uncorrected): -169.5 kJ per mole of atoms



No. 19
Computed, not measured: a relaxed Li2LaSn2 crystal at the PBE level of DFT.

a = 8.522 Å, b = 8.522 Å, c = 3.185 Å
α = 90.00°, β = 90.00°, γ = 90.00°
Space group P4/mbm (No. 127)
Unique sites:
Li (0.115, 0.385, 0.000) [4 per cell]
La (0.000, 0.000, 0.000) [2 per cell]
Sn (0.177, 0.677, 0.500) [4 per cell]

- Energy of formation: -0.51 eV per atom
- E above lowest polymorph: 71 meV/atom



No. 20
Computed, not measured: a relaxed Hf4AgRh crystal at the PBE level of DFT.

a = 14.853 Å, b = 3.155 Å, c = 5.512 Å
α = 90.00°, β = 111.10°, γ = 90.00°
Space group C2/m (No. 12)
Unique sites:
Hf (0.161, 0.000, 0.323) [4 per cell]
Hf (0.163, 0.500, 0.836) [4 per cell]
Ag (0.000, 0.000, 0.500) [2 per cell]
Rh (0.000, 0.500, 0.000) [2 per cell]

- Energy of formation: -0.14 eV per atom
- E above lowest polymorph: 238 meV/atom



No. 21
Computed, not measured: a relaxed KAs3Pt3 crystal at the PBE level of DFT.

a = 6.957 Å, b = 6.957 Å, c = 6.957 Å
α = 90.00°, β = 90.00°, γ = 90.00°
Space group Pm-3n (No. 223)
Unique sites:
K (0.000, 0.000, 0.000) [2 per cell]
As (0.000, 0.250, 0.500) [6 per cell]
Pt (0.000, 0.500, 0.250) [6 per cell]

- Energy of formation: -0.34 eV per atom
- E above lowest polymorph: 60 meV/atom



Number 1: calculated volume 21.27 Å³/atom, density 3.14 g/cm³. Number 2: calculated volume 17.72 Å³/atom, density 8.76 g/cm³. Number 3: calculated volume 24.66 Å³/atom, density 6.30 g/cm³. Number 4: calculated volume 14.96 Å³/atom, density 7.74 g/cm³. Number 5: calculated volume 28.52 Å³/atom, density 6.98 g/cm³. Number 6: calculated volume 26.25 Å³/atom, density 8.66 g/cm³. Number 7: calculated volume 13.98 Å³/atom, density 10.53 g/cm³. Number 8: calculated volume 15.94 Å³/atom, density 3.91 g/cm³. Number 9: calculated volume 17.76 Å³/atom, density 8.87 g/cm³. Number 10: calculated volume 32.26 Å³/atom, density 8.68 g/cm³. Number 11: calculated volume 14.56 Å³/atom, density 9.65 g/cm³. Number 12: calculated volume 15.69 Å³/atom, density 10.84 g/cm³. Number 13: calculated volume 11.62 Å³/atom, density 8.26 g/cm³. Number 14: calculated volume 25.60 Å³/atom, density 12.00 g/cm³. Number 15: calculated volume 15.30 Å³/atom, density 6.30 g/cm³. Number 16: calculated volume 22.22 Å³/atom, density 11.73 g/cm³. Number 17: calculated volume 34.66 Å³/atom, density 7.18 g/cm³. Number 18: calculated volume 25.09 Å³/atom, density 8.43 g/cm³. Number 19: calculated volume 23.14 Å³/atom, density 5.60 g/cm³. Number 20: calculated volume 20.08 Å³/atom, density 12.74 g/cm³. Number 21: calculated volume 24.05 Å³/atom, density 8.37 g/cm³.